Record 1
Below is Zr2AlGa2Ru5 after structural relaxation, with properties calculated at the PBE level.

Summary:
spin magnetization: 0.004 μB per formula unit
space-group type: P4/mbm, No. 127
calculated density: 8.9 g/cm³

The structure in POSCAR format:
```
Zr2AlGa2Ru5
1.0
-0.641 0.154 3.260
4.879 -8.358 1.353
8.255 5.043 1.385
Zr Al Ga Ru
4 2 4 10
Direct
0.000 0.669 0.169
0.000 0.331 0.831
0.000 0.169 0.331
0.000 0.831 0.669
0.000 0.000 0.000
0.000 0.500 0.500
0.000 0.133 0.633
0.000 0.867 0.367
0.000 0.633 0.867
0.000 0.367 0.133
0.500 0.199 0.051
0.500 0.801 0.949
0.500 0.051 0.801
0.500 0.699 0.449
0.500 0.949 0.199
0.500 0.301 0.551
0.500 0.551 0.699
0.500 0.449 0.301
0.500 0.500 0.000
0.500 0.000 0.500
```

---

Record 2
Below is Al2Ga2S7 after structural relaxation, with properties calculated at the PBE level.

Summary:
spin magnetization: 0.000 μB per formula unit
space-group type: C2/m, No. 12
uncorrected formation energy: -570 meV/atom
calculated density: 3.0 g/cm³

The structure in POSCAR format:
```
Al2Ga2S7
1.0
-2.818 -0.307 5.657
-0.662 -6.106 -2.043
6.057 1.502 1.717
Al Ga S
2 2 7
Direct
0.500 0.318 0.682
0.500 0.682 0.318
0.149 0.745 0.745
0.851 0.255 0.255
0.281 0.533 0.909
0.719 0.091 0.467
0.719 0.467 0.091
0.281 0.909 0.533
0.260 0.342 0.342
0.000 0.000 0.000
0.740 0.658 0.658
```

---

Record 3
Below is AlGaS after structural relaxation, with properties calculated at the PBE level.

Summary:
spin magnetization: 0.000 μB per formula unit
space-group type: Cmce, No. 64
uncorrected formation energy: -355 meV/atom
calculated density: 3.2 g/cm³

The structure in POSCAR format:
```
AlGaS
1.0
-4.197 -3.004 1.931
4.290 -7.441 -2.251
1.451 1.466 5.436
S Al Ga
4 4 4
Direct
0.480 0.313 0.657
0.980 0.687 0.843
0.520 0.687 0.343
0.020 0.313 0.157
0.250 0.162 0.831
0.750 0.838 0.669
0.750 0.838 0.169
0.250 0.162 0.331
0.316 0.883 0.942
0.816 0.117 0.558
0.684 0.117 0.058
0.184 0.883 0.442
```

---

Record 4
Below is Al3GaS4 after structural relaxation, with properties calculated at the PBE level.

Summary:
spin magnetization: 0.000 μB per formula unit
space-group type: Pmn2_1, No. 31
uncorrected formation energy: -684 meV/atom
calculated density: 2.3 g/cm³

The structure in POSCAR format:
```
Al3GaS4
1.0
6.034 0.000 0.000
0.000 9.387 0.000
0.000 0.000 7.263
Al Ga S
6 2 8
Direct
0.532 0.800 0.000
0.000 0.617 0.252
0.500 0.383 0.248
0.032 0.200 0.500
0.500 0.383 0.752
0.000 0.617 0.748
0.035 0.163 0.000
0.535 0.837 0.500
0.114 0.739 0.000
0.595 0.252 0.000
0.119 0.387 0.252
0.619 0.613 0.248
0.095 0.748 0.500
0.614 0.261 0.500
0.619 0.613 0.752
0.119 0.387 0.748
```

---

Record 5
Below is AlGaS2 after structural relaxation, with properties calculated at the PBE level.

Summary:
spin magnetization: 0.000 μB per formula unit
space-group type: I-42d, No. 122
uncorrected formation energy: -697 meV/atom
calculated density: 2.8 g/cm³

The structure in POSCAR format:
```
AlGaS2
1.0
6.678 0.000 0.000
0.000 6.678 0.000
3.339 3.339 4.235
S Al Ga
4 2 2
Direct
0.543 0.125 0.250
0.207 0.625 0.250
0.375 0.457 0.750
0.875 0.793 0.750
0.500 0.500 0.000
0.250 0.750 0.500
0.000 0.000 0.000
0.750 0.250 0.500
```

---

Record 6
Below is AlGaS2 after structural relaxation, with properties calculated at the PBE level.

Summary:
spin magnetization: 0.000 μB per formula unit
space-group type: R-3m, No. 166
uncorrected formation energy: -587 meV/atom
calculated density: 3.3 g/cm³

The structure in POSCAR format:
```
AlGaS2
1.0
2.008 0.000 7.804
-1.004 1.739 7.804
-1.004 -1.739 7.804
S Al Ga
2 1 1
Direct
0.889 0.889 0.889
0.111 0.111 0.111
0.500 0.500 0.500
0.000 0.000 0.000
```

---

Record 7
Below is Al2GaS5 after structural relaxation, with properties calculated at the PBE level.

Summary:
spin magnetization: 0.003 μB per formula unit
space-group type: Cmcm, No. 63
uncorrected formation energy: -636 meV/atom
calculated density: 2.9 g/cm³

The structure in POSCAR format:
```
Al2GaS5
1.0
5.058 0.000 0.000
-2.529 5.944 0.000
0.000 0.000 10.781
Al Ga S
4 2 10
Direct
0.845 0.689 0.439
0.845 0.689 0.061
0.155 0.311 0.561
0.155 0.311 0.939
0.789 0.579 0.750
0.211 0.421 0.250
0.964 0.928 0.883
0.964 0.928 0.617
0.319 0.638 0.433
0.319 0.638 0.067
0.743 0.486 0.250
0.257 0.514 0.750
0.681 0.362 0.567
0.681 0.362 0.933
0.036 0.072 0.117
0.036 0.072 0.383
```

---

Record 8
Below is Al2GaS after structural relaxation, with properties calculated at the PBE level.

Summary:
spin magnetization: 0.000 μB per formula unit
space-group type: Fm-3m, No. 225
energy above the lowest structure with this stoichiometry: 1.26 eV per formula unit
uncorrected formation energy: 158 meV/atom
calculated density: 3.8 g/cm³

The structure in POSCAR format:
```
Al2GaS
1.0
1.261 -0.087 4.407
2.288 3.542 1.800
-2.059 2.758 3.028
S Al Ga
1 2 1
Direct
0.000 0.000 0.000
0.250 0.250 0.250
0.750 0.750 0.750
0.500 0.500 0.500
```

---

Record 9
Below is Al2Ga2S after structural relaxation, with properties calculated at the PBE level.

Summary:
spin magnetization: 0.000 μB per formula unit
space-group type: P4/mbm, No. 127
energy above the lowest structure with this stoichiometry: 0.00 eV per formula unit
uncorrected formation energy: 15 meV/atom
calculated density: 4.0 g/cm³

The structure in POSCAR format:
```
Al2Ga2S
1.0
-0.954 -4.717 4.732
6.482 -1.812 -0.500
0.987 2.726 2.915
S Al Ga
2 4 4
Direct
0.000 0.000 0.000
0.500 0.500 0.000
0.348 0.848 0.000
0.848 0.652 0.000
0.652 0.152 0.000
0.152 0.348 0.000
0.148 0.648 0.500
0.648 0.852 0.500
0.852 0.352 0.500
0.352 0.148 0.500
```

---

Record 10
Below is AlGaS2 after structural relaxation, with properties calculated at the PBE level.

Summary:
spin magnetization: 0.000 μB per formula unit
space-group type: R-3m, No. 166
uncorrected formation energy: -280 meV/atom
calculated density: 3.4 g/cm³

The structure in POSCAR format:
```
AlGaS2
1.0
4.008 -5.713 3.351
3.841 -6.721 0.013
6.268 -4.425 1.024
S Al Ga
2 1 1
Direct
0.894 0.894 0.894
0.106 0.106 0.106
0.000 0.000 0.000
0.500 0.500 0.500
```

---

Record 11
Below is Al2GaS after structural relaxation, with properties calculated at the PBE level.

Summary:
spin magnetization: 0.000 μB per formula unit
space-group type: I-42d, No. 122
energy above the lowest structure with this stoichiometry: 0.00 eV per formula unit
uncorrected formation energy: -157 meV/atom
calculated density: 2.8 g/cm³

The structure in POSCAR format:
```
Al2GaS
1.0
5.779 0.000 0.000
0.000 5.779 0.000
2.889 2.889 5.553
S Al Ga
2 4 2
Direct
0.500 0.500 0.000
0.250 0.750 0.500
0.612 0.125 0.250
0.138 0.625 0.250
0.375 0.388 0.750
0.875 0.862 0.750
0.000 0.000 0.000
0.750 0.250 0.500
```

---

Record 12
Below is Al2Ga2S after structural relaxation, with properties calculated at the PBE level.

Summary:
spin magnetization: 0.000 μB per formula unit
space-group type: I4/mmm, No. 139
energy above the lowest structure with this stoichiometry: 0.25 eV per formula unit
uncorrected formation energy: 65 meV/atom
calculated density: 4.1 g/cm³

The structure in POSCAR format:
```
Al2Ga2S
1.0
3.610 0.000 0.000
0.000 3.610 0.000
1.805 1.805 6.979
S Al Ga
1 2 2
Direct
0.000 0.000 0.000
0.404 0.404 0.192
0.596 0.596 0.808
0.750 0.250 0.500
0.250 0.750 0.500
```

---

Result set for E: -7.7226; -4.4272; -3.9871; -4.5293; -4.4532; -4.3427; -4.5298; -3.5014; -3.5179; -4.0361; -3.8164; -3.4681 eV/atom, one per record in the order listed.